P:
First-principles (PBE-GGA) data for crystalline FeSb2Mo at its relaxed geometry, as listed in the Alexandria database.

```
FeSb2Mo
1.0
3.106 0.000 0.000
-1.553 2.690 0.000
0.000 0.000 31.678
Fe Sb Mo
3 6 3
direct
0.000 0.000 0.000
0.333 0.667 0.667
0.667 0.333 0.333
0.000 0.000 0.267
0.000 0.000 0.464
0.333 0.667 0.130
0.333 0.667 0.934
0.667 0.333 0.601
0.667 0.333 0.797
0.000 0.000 0.726
0.333 0.667 0.393
0.667 0.333 0.059
```

Output
- SG: R3m (160)



Q:
First-principles (PBE-GGA) data for crystalline FeSb2Mo at its relaxed geometry, as listed in the Alexandria database.

```
FeSb2Mo
1.0
6.173 0.000 0.000
0.000 6.173 0.000
0.000 0.000 10.831
Fe Sb Mo
4 8 4
direct
0.000 0.000 0.000
0.000 0.500 0.250
0.500 0.000 0.750
0.500 0.500 0.500
0.219 0.250 0.125
0.250 0.719 0.375
0.250 0.781 0.875
0.281 0.250 0.625
0.719 0.750 0.625
0.750 0.219 0.875
0.750 0.281 0.375
0.781 0.750 0.125
0.000 0.000 0.500
0.000 0.500 0.750
0.500 0.000 0.250
0.500 0.500 0.000
```

Output
- SG: I-42d (122)



P ends up most stable, edging out the next structure by 584 meV/atom.



P:
First-principles (PBE-GGA) data for crystalline FeSb2Mo at its relaxed geometry, as listed in the Alexandria database.

```
FeSb2Mo
1.0
4.266 0.000 0.000
0.000 3.577 0.000
0.000 0.000 9.916
Fe Sb Mo
2 4 2
direct
0.000 0.000 0.000
0.000 0.500 0.500
0.000 0.000 0.278
0.000 0.500 0.778
0.500 0.000 0.572
0.500 0.500 0.072
0.500 0.000 0.858
0.500 0.500 0.358
```

Output
- SG: Amm2 (38)



Q:
First-principles (PBE-GGA) data for crystalline FeSb2Mo at its relaxed geometry, as listed in the Alexandria database.

```
FeSb2Mo
1.0
3.271 0.000 0.000
-1.636 2.833 0.000
0.000 0.000 24.276
Fe Sb Mo
3 6 3
direct
0.000 0.000 0.000
0.333 0.667 0.667
0.667 0.333 0.333
0.000 0.000 0.252
0.000 0.000 0.748
0.333 0.667 0.414
0.333 0.667 0.919
0.667 0.333 0.081
0.667 0.333 0.586
0.000 0.000 0.500
0.333 0.667 0.167
0.667 0.333 0.833
```

Output
- SG: R-3m (166)



P ends up most stable, edging out the next structure by 205 meV/atom.



P:
First-principles (PBE-GGA) data for crystalline FeSb3Mo at its relaxed geometry, as listed in the Alexandria database.

```
FeSb3Mo
1.0
5.218 0.000 0.000
0.000 5.218 0.000
0.000 0.000 5.218
Fe Sb Mo
1 3 1
direct
0.000 0.000 0.000
0.000 0.500 0.500
0.500 0.000 0.500
0.500 0.500 0.000
0.500 0.500 0.500
```

Output
- SG: Pm-3m (221)



Q:
First-principles (PBE-GGA) data for crystalline FeSb3Mo at its relaxed geometry, as listed in the Alexandria database.

```
FeSb3Mo
1.0
4.949 0.000 0.000
0.000 4.949 0.000
0.000 0.000 4.949
Fe Sb Mo
1 3 1
direct
0.000 0.000 0.000
0.000 0.000 0.500
0.000 0.500 0.000
0.500 0.000 0.000
0.500 0.500 0.500
```

Output
- SG: Pm-3m (221)



Q ends up most stable, edging out the next structure by 76 meV/atom.



P:
First-principles (PBE-GGA) data for crystalline Fe3SbMo at its relaxed geometry, as listed in the Alexandria database.

```
Fe3SbMo
1.0
4.522 0.000 0.000
0.000 4.522 0.000
0.000 0.000 4.522
Fe Sb Mo
3 1 1
direct
0.000 0.000 0.500
0.000 0.500 0.000
0.500 0.000 0.000
0.500 0.500 0.500
0.000 0.000 0.000
```

Output
- SG: Pm-3m (221)



Q:
First-principles (PBE-GGA) data for crystalline Fe3SbMo at its relaxed geometry, as listed in the Alexandria database.

```
Fe3SbMo
1.0
4.585 0.000 0.000
0.000 4.585 0.000
0.000 0.000 4.585
Fe Sb Mo
3 1 1
direct
0.000 0.000 0.500
0.000 0.500 0.000
0.500 0.000 0.000
0.000 0.000 0.000
0.500 0.500 0.500
```

Output
- SG: Pm-3m (221)



P ends up most stable, edging out the next structure by 416 meV/atom.



P:
First-principles (PBE-GGA) data for crystalline Sc3FeMo at its relaxed geometry, as listed in the Alexandria database.

```
Sc3FeMo
1.0
4.684 0.000 0.000
0.000 4.684 0.000
0.000 0.000 4.684
Sc Fe Mo
3 1 1
direct
0.000 0.000 0.500
0.000 0.500 0.000
0.500 0.000 0.000
0.000 0.000 0.000
0.500 0.500 0.500
```

Output
- SG: Pm-3m (221)



Q:
First-principles (PBE-GGA) data for crystalline Sc3FeMo at its relaxed geometry, as listed in the Alexandria database.

```
Sc3FeMo
1.0
4.888 0.000 0.000
0.000 4.888 0.000
0.000 0.000 4.888
Sc Fe Mo
3 1 1
direct
0.000 0.000 0.500
0.000 0.500 0.000
0.500 0.000 0.000
0.500 0.500 0.500
0.000 0.000 0.000
```

Output
- SG: Pm-3m (221)



P ends up most stable, edging out the next structure by 497 meV/atom.



P:
First-principles (PBE-GGA) data for crystalline ScFe2Mo2 at its relaxed geometry, as listed in the Alexandria database.

```
ScFe2Mo2
1.0
7.152 0.000 0.000
0.000 7.152 0.000
0.000 0.000 2.874
Sc Fe Mo
2 4 4
direct
0.000 0.000 0.000
0.500 0.500 0.000
0.126 0.374 0.000
0.374 0.874 0.000
0.626 0.126 0.000
0.874 0.626 0.000
0.167 0.667 0.500
0.333 0.167 0.500
0.667 0.833 0.500
0.833 0.333 0.500
```

Output
- SG: P4/mbm (127)



Q:
First-principles (PBE-GGA) data for crystalline ScFe2Mo2 at its relaxed geometry, as listed in the Alexandria database.

```
ScFe2Mo2
1.0
7.358 0.000 0.000
0.000 7.358 0.000
0.000 0.000 2.732
Sc Fe Mo
2 4 4
direct
0.000 0.000 0.000
0.500 0.500 0.000
0.142 0.358 0.500
0.358 0.858 0.500
0.642 0.142 0.500
0.858 0.642 0.500
0.149 0.649 0.000
0.351 0.149 0.000
0.649 0.851 0.000
0.851 0.351 0.000
```

Output
- SG: P4/mbm (127)



P ends up most stable, edging out the next structure by 54 meV/atom.



P:
First-principles (PBE-GGA) data for crystalline FeMoSe2 at its relaxed geometry, as listed in the Alexandria database.

```
FeMoSe2
1.0
3.705 0.000 0.000
0.000 3.745 0.000
-0.056 0.000 6.549
Fe Mo Se
1 1 2
direct
0.000 0.000 0.000
0.500 0.500 0.998
0.004 0.500 0.253
0.496 0.000 0.745
```

Output
- SG: Pm (6)



Q:
First-principles (PBE-GGA) data for crystalline FeMoSe2 at its relaxed geometry, as listed in the Alexandria database.

```
FeMoSe2
1.0
3.199 0.000 0.000
0.000 3.199 0.000
0.000 0.000 7.274
Fe Mo Se
1 1 2
direct
0.000 0.000 0.000
0.500 0.500 0.222
0.000 0.000 0.400
0.500 0.500 0.860
```

Output
- SG: P4mm (99)



R:
First-principles (PBE-GGA) data for crystalline FeMoSe2 at its relaxed geometry, as listed in the Alexandria database.

```
FeMoSe2
1.0
7.897 0.000 0.000
0.000 3.192 0.000
-0.867 0.000 5.246
Fe Mo Se
2 2 4
direct
0.000 0.000 0.000
0.500 0.500 0.000
0.000 0.500 0.500
0.500 0.000 0.500
0.228 0.000 0.740
0.272 0.500 0.260
0.728 0.500 0.740
0.772 0.000 0.260
```

Output
- SG: C2/m (12)



S:
First-principles (PBE-GGA) data for crystalline FeMoSe2 at its relaxed geometry, as listed in the Alexandria database.

```
FeMoSe2
1.0
5.559 0.000 0.000
0.000 5.559 0.000
0.000 0.000 10.439
Fe Mo Se
4 4 8
direct
0.000 0.000 0.000
0.000 0.500 0.250
0.500 0.000 0.750
0.500 0.500 0.500
0.000 0.000 0.500
0.000 0.500 0.750
0.500 0.000 0.250
0.500 0.500 0.000
0.223 0.250 0.125
0.250 0.723 0.375
0.250 0.777 0.875
0.277 0.250 0.625
0.723 0.750 0.625
0.750 0.223 0.875
0.750 0.277 0.375
0.777 0.750 0.125
```

Output
- SG: I-42d (122)



P ends up most stable, edging out the next structure by 159 meV/atom.



P:
First-principles (PBE-GGA) data for crystalline FeMoSe at its relaxed geometry, as listed in the Alexandria database.

```
FeMoSe
1.0
3.078 0.000 0.000
0.000 3.078 0.000
0.000 0.000 9.125
Fe Mo Se
2 2 2
direct
0.000 0.000 0.000
0.500 0.500 0.500
0.000 0.000 0.670
0.500 0.500 0.170
0.000 0.000 0.343
0.500 0.500 0.843
```

Output
- SG: I4mm (107)



Q:
First-principles (PBE-GGA) data for crystalline FeMoSe at its relaxed geometry, as listed in the Alexandria database.

```
FeMoSe
1.0
4.013 0.000 0.000
-2.006 3.475 0.000
0.000 0.000 3.024
Fe Mo Se
1 1 1
direct
0.000 0.000 0.000
0.333 0.667 0.499
0.667 0.333 0.998
```

Output
- SG: P3m1 (156)



P ends up most stable, edging out the next structure by 43 meV/atom.



P:
First-principles (PBE-GGA) data for crystalline FeMoSe at its relaxed geometry, as listed in the Alexandria database.

```
FeMoSe
1.0
11.608 0.000 0.000
0.000 3.070 0.000
0.000 0.000 5.406
Fe Mo Se
4 4 4
direct
0.158 0.000 0.000
0.158 0.500 0.500
0.842 0.000 0.000
0.842 0.500 0.500
0.000 0.000 0.333
0.000 0.500 0.833
0.500 0.000 0.177
0.500 0.500 0.677
0.343 0.000 0.504
0.343 0.500 0.004
0.657 0.000 0.504
0.657 0.500 0.004
```

Output
- SG: Amm2 (38)



Q:
First-principles (PBE-GGA) data for crystalline FeMoSe at its relaxed geometry, as listed in the Alexandria database.

```
FeMoSe
1.0
5.702 0.000 0.000
0.000 5.702 0.000
0.000 0.000 5.702
Fe Mo Se
4 4 4
direct
0.000 0.000 0.000
0.000 0.500 0.500
0.500 0.000 0.500
0.500 0.500 0.000
0.250 0.250 0.750
0.250 0.750 0.250
0.750 0.250 0.250
0.750 0.750 0.750
0.250 0.250 0.250
0.250 0.750 0.750
0.750 0.250 0.750
0.750 0.750 0.250
```

Output
- SG: F-43m (216)



P ends up most stable, edging out the next structure by 74 meV/atom.



P:
First-principles (PBE-GGA) data for crystalline FeMo6Se8 at its relaxed geometry, as listed in the Alexandria database.

```
FeMo6Se8
1.0
4.854 2.803 3.712
-4.854 2.803 3.712
0.000 -5.605 3.712
Fe Mo Se
1 6 8
direct
0.000 0.000 0.000
0.227 0.419 0.547
0.419 0.547 0.227
0.453 0.773 0.581
0.547 0.227 0.419
0.581 0.453 0.773
0.773 0.581 0.453
0.129 0.745 0.366
0.216 0.216 0.216
0.255 0.634 0.871
0.366 0.129 0.745
0.634 0.871 0.255
0.745 0.366 0.129
0.784 0.784 0.784
0.871 0.255 0.634
```

Output
- SG: R-3 (148)



Q:
First-principles (PBE-GGA) data for crystalline FeMo6Se8 at its relaxed geometry, as listed in the Alexandria database.

```
FeMo6Se8
1.0
6.808 0.000 0.000
-0.520 6.822 0.000
-0.169 -0.180 6.882
Fe Mo Se
1 6 8
direct
0.000 0.000 0.000
0.090 0.058 0.365
0.269 0.745 0.495
0.307 0.087 0.708
0.397 0.927 0.168
0.439 0.275 0.394
0.615 0.961 0.518
0.069 0.709 0.169
0.126 0.375 0.572
0.255 0.259 0.060
0.476 0.772 0.812
0.581 0.642 0.309
0.640 0.288 0.710
0.735 0.134 0.198
0.968 0.867 0.669
```

Output
- SG: P1 (1)



Q ends up most stable, edging out the next structure by 75 meV/atom.



P:
First-principles (PBE-GGA) data for crystalline TaFeMo3 at its relaxed geometry, as listed in the Alexandria database.

```
TaFeMo3
1.0
4.440 0.000 0.000
0.000 4.440 0.000
0.000 0.000 4.440
Ta Fe Mo
1 1 3
direct
0.000 0.000 0.000
0.500 0.500 0.500
0.000 0.500 0.500
0.500 0.000 0.500
0.500 0.500 0.000
```

Output
- SG: Pm-3m (221)



Q:
First-principles (PBE-GGA) data for crystalline TaFeMo3 at its relaxed geometry, as listed in the Alexandria database.

```
TaFeMo3
1.0
4.701 0.000 0.000
0.000 4.701 0.000
0.000 0.000 4.701
Ta Fe Mo
1 1 3
direct
0.000 0.000 0.000
0.500 0.500 0.500
0.000 0.000 0.500
0.000 0.500 0.000
0.500 0.000 0.000
```

Output
- SG: Pm-3m (221)



P ends up most stable, edging out the next structure by 1303 meV/atom.



P:
First-principles (PBE-GGA) data for crystalline Fe2TcMo at its relaxed geometry, as listed in the Alexandria database.

```
Fe2TcMo
1.0
3.743 0.000 0.000
0.000 3.743 0.000
0.000 0.000 7.347
Fe Tc Mo
4 2 2
direct
0.000 0.500 0.250
0.000 0.500 0.750
0.500 0.000 0.250
0.500 0.000 0.750
0.000 0.000 0.000
0.500 0.500 0.500
0.000 0.000 0.500
0.500 0.500 0.000
```

Output
- SG: I4/mmm (139)



Q:
First-principles (PBE-GGA) data for crystalline Fe2TcMo at its relaxed geometry, as listed in the Alexandria database.

```
Fe2TcMo
1.0
5.994 0.000 0.000
0.000 5.994 0.000
0.000 0.000 5.994
Fe Tc Mo
8 4 4
direct
0.250 0.250 0.250
0.250 0.250 0.750
0.250 0.750 0.250
0.250 0.750 0.750
0.750 0.250 0.250
0.750 0.250 0.750
0.750 0.750 0.250
0.750 0.750 0.750
0.000 0.000 0.000
0.000 0.500 0.500
0.500 0.000 0.500
0.500 0.500 0.000
0.000 0.000 0.500
0.000 0.500 0.000
0.500 0.000 0.000
0.500 0.500 0.500
```

Output
- SG: Fm-3m (225)



P ends up most stable, edging out the next structure by 35 meV/atom.